Computed, not measured: a relaxed structure of Rb2CuMoI at the PBE level of DFT.

- raw formation energy (kJ per mole of atoms) = 87
- D(E_F) (states/eV per cell) = 1.18
- V (Å³/cell) = 257.5

a = 7.0323 Å, b = 5.2077 Å, c = 7.0323 Å
α = 90.00°, β = 90.00°, γ = 90.00°
Positions (direct):
I (0.0000, 0.0000, 0.0000)
Mo (0.5000, 0.5000, 0.5000)
Cu (0.0000, 0.5000, 0.0000)
Rb (0.0000, 0.0000, 0.5000)
Rb (0.5000, 0.0000, 0.0000)

Computed, not measured: a relaxed structure of Rb2CuMoI6 at the PBE level of DFT.

- raw formation energy (kJ per mole of atoms) = -57
- D(E_F) (states/eV per cell) = 0.00
- V (Å³/cell) = 376.6

a = 8.1346 Å, b = 8.1346 Å, c = 8.0920 Å
α = 59.83°, β = 59.83°, γ = 90.00°
Positions (direct):
I (0.2500, 0.2500, 0.4999)
I (0.7500, 0.7500, 0.5001)
I (0.2471, 0.2471, 0.0000)
I (0.7529, 0.7529, 0.0000)
I (0.7529, 0.2471, 0.0000)
I (0.2471, 0.7529, 0.0000)
Mo (0.0000, 0.0000, 0.0000)
Cu (0.5000, 0.5000, 0.0000)
Rb (0.7500, 0.2500, 0.5000)
Rb (0.2500, 0.7500, 0.5000)

Computed, not measured: a relaxed structure of CuMoWI2 at the PBE level of DFT.

- raw formation energy (kJ per mole of atoms) = 160
- D(E_F) (states/eV per cell) = 2.93
- V (Å³/cell) = 148.7

a = 5.4797 Å, b = 4.9519 Å, c = 5.4797 Å
α = 90.00°, β = 90.00°, γ = 90.00°
Positions (direct):
I (0.0000, 0.0000, 0.5000)
I (0.5000, 0.0000, 0.0000)
Mo (0.0000, 0.0000, 0.0000)
Cu (0.5000, 0.5000, 0.5000)
W (0.0000, 0.5000, 0.0000)

Computed, not measured: a relaxed structure of CuI3N2 at the PBE level of DFT.

- raw formation energy (kJ per mole of atoms) = 108
- V (Å³/cell) = 304.2

a = 6.6929 Å, b = 8.5958 Å, c = 6.7769 Å
α = 96.12°, β = 56.96°, γ = 76.42°
Positions (direct):
Cu (0.9184, 0.7230, 0.9421)
Cu (0.0816, 0.2770, 0.0579)
I (0.5144, 0.2418, 0.9829)
I (0.4856, 0.7582, 0.0171)
I (0.2284, 0.8518, 0.6469)
I (0.8661, 0.6316, 0.3163)
I (0.1339, 0.3684, 0.6837)
I (0.7716, 0.1482, 0.3531)
N (0.5756, 0.8257, 0.6261)
N (0.6441, 0.3205, 0.6500)
N (0.3559, 0.6795, 0.3500)
N (0.4244, 0.1743, 0.3739)

Computed, not measured: a relaxed structure of CuIN2 at the PBE level of DFT.

- raw formation energy (kJ per mole of atoms) = 139
- D(E_F) (states/eV per cell) = 2.27
- V (Å³/cell) = 63.4

a = 6.1482 Å, b = 6.1482 Å, c = 6.1482 Å
α = 33.59°, β = 33.59°, γ = 33.59°
Positions (direct):
I (0.5000, 0.5000, 0.5000)
Cu (0.0000, 0.0000, 0.0000)
N (0.8952, 0.8952, 0.8952)
N (0.1048, 0.1048, 0.1048)

Computed, not measured: a relaxed structure of CuI3N at the PBE level of DFT.

- raw formation energy (kJ per mole of atoms) = 150
- D(E_F) (states/eV per cell) = 9.57
- V (Å³/cell) = 148.6

a = 5.2963 Å, b = 5.2963 Å, c = 5.2963 Å
α = 90.00°, β = 90.00°, γ = 90.00°
Positions (direct):
I (0.0000, 0.5000, 0.0000)
I (0.0000, 0.0000, 0.5000)
I (0.5000, 0.0000, 0.0000)
Cu (0.0000, 0.0000, 0.0000)
N (0.5000, 0.5000, 0.5000)

Computed, not measured: a relaxed structure of CuIN3 at the PBE level of DFT.

- raw formation energy (kJ per mole of atoms) = 212
- D(E_F) (states/eV per cell) = 3.80
- V (Å³/cell) = 56.6

a = 3.8387 Å, b = 3.8387 Å, c = 3.8387 Å
α = 90.00°, β = 90.00°, γ = 90.00°
Positions (direct):
I (0.5000, 0.5000, 0.5000)
Cu (0.0000, 0.0000, 0.0000)
N (0.0000, 0.5000, 0.0000)
N (0.0000, 0.0000, 0.5000)
N (0.5000, 0.0000, 0.0000)

Computed, not measured: a relaxed structure of CuI3N at the PBE level of DFT.

- raw formation energy (kJ per mole of atoms) = 112
- D(E_F) (states/eV per cell) = 3.19
- V (Å³/cell) = 126.3

a = 5.0178 Å, b = 5.0178 Å, c = 5.0178 Å
α = 90.00°, β = 90.00°, γ = 90.00°
Positions (direct):
I (0.0000, 0.5000, 0.0000)
I (0.0000, 0.0000, 0.5000)
I (0.5000, 0.0000, 0.0000)
Cu (0.5000, 0.5000, 0.5000)
N (0.0000, 0.0000, 0.0000)

Computed, not measured: a relaxed structure of CuIN2 at the PBE level of DFT.

- raw formation energy (kJ per mole of atoms) = -2
- D(E_F) (states/eV per cell) = 0.00
- V (Å³/cell) = 248.2

a = 4.4221 Å, b = 4.3553 Å, c = 14.0308 Å
α = 73.26°, β = 98.13°, γ = 106.00°
Positions (direct):
Cu (0.0000, 0.5000, 0.5000)
Cu (0.5000, 0.0000, 0.5000)
I (0.2049, 0.7015, 0.6489)
I (0.7951, 0.2985, 0.3511)
N (0.6136, 0.9308, 0.8894)
N (0.3864, 0.0692, 0.1106)
N (0.8177, 0.1498, 0.8867)
N (0.1823, 0.8502, 0.1133)

Computed, not measured: a relaxed structure of CuIN2 at the PBE level of DFT.

- raw formation energy (kJ per mole of atoms) = 130
- D(E_F) (states/eV per cell) = 2.66
- V (Å³/cell) = 56.2

a = 6.3345 Å, b = 6.3345 Å, c = 6.3345 Å
α = 29.97°, β = 29.97°, γ = 29.97°
Positions (direct):
I (0.0000, 0.0000, 0.0000)
Cu (0.5000, 0.5000, 0.5000)
N (0.8817, 0.8817, 0.8817)
N (0.1183, 0.1183, 0.1183)

Computed, not measured: a relaxed structure of Cu3IN at the PBE level of DFT.

- raw formation energy (kJ per mole of atoms) = 198
- D(E_F) (states/eV per cell) = 13.12
- V (Å³/cell) = 112.9

a = 4.8337 Å, b = 4.8337 Å, c = 4.8337 Å
α = 90.00°, β = 90.00°, γ = 90.00°
Positions (direct):
I (0.0000, 0.0000, 0.0000)
Cu (0.0000, 0.5000, 0.0000)
Cu (0.0000, 0.0000, 0.5000)
Cu (0.5000, 0.0000, 0.0000)
N (0.5000, 0.5000, 0.5000)

Computed, not measured: a relaxed structure of CuIN3 at the PBE level of DFT.

- raw formation energy (kJ per mole of atoms) = 241
- D(E_F) (states/eV per cell) = 4.78
- V (Å³/cell) = 61.7

a = 3.9517 Å, b = 3.9517 Å, c = 3.9517 Å
α = 90.00°, β = 90.00°, γ = 90.00°
Positions (direct):
I (0.0000, 0.0000, 0.0000)
Cu (0.5000, 0.5000, 0.5000)
N (0.0000, 0.5000, 0.0000)
N (0.0000, 0.0000, 0.5000)
N (0.5000, 0.0000, 0.0000)